A relaxed structure of KTcOs2O8. Source: Alexandria via LeMat-Bulk, functional PBE-GGA.

Cell: 5.4647 5.4647 7.8613 Å, 90.00 90.00 120.00°
Closest atoms and distances in Å follow each position.
Space group P-3 (No. 147)
Unique sites:
K: 0.0000 0.0000 0.0000 (multiplicity 1)  12 O 3.17
Tc: 0.0000 0.0000 0.5000 (multiplicity 1)  6 O 1.99
Os: 0.3333 0.6667 0.7313 (multiplicity 2)  4 O 1.77-1.84
O: 0.0650 0.3191 0.6513 (multiplicity 6)  1 Os 1.84, 1 Tc 1.99
O: 0.3333 0.6667 0.9564 (multiplicity 2)  1 Os 1.77

Results
**Fermi-level density of states**: 5.2 states/eV/cell
**E**: -7.1762 eV/atom
**Raw formation energy**: -101 kJ/mol of atoms

---

A relaxed structure of K2TeOsO. Source: Alexandria via LeMat-Bulk, functional PBE-GGA.

Cell: 6.6560 6.6560 3.6665 Å, 90.00 90.00 90.00°
Closest atoms and distances in Å follow each position.
Space group P4/mmm (No. 123)
Unique sites:
K: 0.0000 0.5000 0.0000 (multiplicity 2)  2 Os 3.33, 2 K 3.67
Te: 0.0000 0.0000 0.5000 (multiplicity 1)  2 Te 3.67, 8 K 3.80
Os: 0.5000 0.5000 0.0000 (multiplicity 1)  2 O 1.83
O: 0.5000 0.5000 0.5000 (multiplicity 1)  2 Os 1.83

Results
**Fermi-level density of states**: 6.3 states/eV/cell
**E**: -4.5135 eV/atom
**Raw formation energy**: -20 kJ/mol of atoms

---

A relaxed structure of KThOsO6. Source: Alexandria via LeMat-Bulk, functional PBE-GGA.

Cell: 7.4344 7.6987 10.0160 Å, 90.00 90.00 90.00°
Closest atoms and distances in Å follow each position.
Space group Imma (No. 74)
Unique sites:
K: 0.0000 0.2500 0.0963 (multiplicity 4)  9 O 2.97-3.02
Th: 0.0000 0.0000 0.5000 (multiplicity 4)  2 O 2.20
Os: 0.2500 0.2500 0.7500 (multiplicity 4)  6 O 1.86-1.98
O: 0.0000 0.2500 0.3927 (multiplicity 4)  2 Th 2.20
O: 0.0000 0.2500 0.6828 (multiplicity 4)  2 Os 1.98
O: 0.2172 0.0777 0.8785 (multiplicity 16)  1 Os 1.86

Results
**Fermi-level density of states**: 12.4 states/eV/cell
**E**: -7.4770 eV/atom
**Raw formation energy**: -191 kJ/mol of atoms